A plane-wave DFT calculation with GGA+U was carried out for a geometry-optimized ScWF3 structure.

Cell lengths 4.2787, 4.2787, 4.2787 Å; angles 90.00, 90.00, 90.00 degrees
Fractional positions:
Sc 0.0000 0.0000 0.0000
W 0.5000 0.5000 0.5000
F 0.0000 0.0000 0.5000
F 0.0000 0.5000 0.0000
F 0.5000 0.0000 0.0000

Summary:
E above lowest polymorph ... 0.0 meV per atom